No. 1
The following is a GGA-PBE calculation of crystalline NaUCu2Se4 at its relaxed geometry, from Alexandria via LeMat-Bulk.

Computed properties:
Spin magnetization in Bohr magnetons per cell: 2.8
SG: I222, No. 23
DOS(E_F) in states/eV/f.u.: 7.293
E_form (uncorrected) in kJ/mol of formula units: -426.3
Raw total energy in Ry per atom: -0.3597
Calculated volume in Å³/cell: 354.57

abc: 6.683 7.014 7.564
angles: 90.00 90.00 90.00
Sites, in units of the cell vectors:
Na 0.000 0.000 0.000
Na 0.500 0.500 0.500
U 0.000 0.000 0.500
U 0.500 0.500 0.000
Cu 0.000 0.500 0.170
Cu 0.000 0.500 0.830
Cu 0.500 0.000 0.330
Cu 0.500 0.000 0.670
Se 0.246 0.237 0.303
Se 0.246 0.763 0.697
Se 0.254 0.263 0.803
Se 0.254 0.737 0.197
Se 0.746 0.263 0.197
Se 0.746 0.737 0.803
Se 0.754 0.237 0.697
Se 0.754 0.763 0.303


No. 2
The following is a GGA-PBE calculation of crystalline NaUCuSe4 at its relaxed geometry, from Alexandria via LeMat-Bulk.

Computed properties:
Spin magnetization in Bohr magnetons per cell: 2.4
SG: P2_1/m, No. 11
DOS(E_F) in states/eV/f.u.: 5.298
E_form (uncorrected) in kJ/mol of formula units: -559.5
Raw total energy in Ry per atom: -0.3826
Calculated volume in Å³/cell: 341.03

abc: 7.055 5.678 9.185
angles: 90.00 112.04 90.00
Sites, in units of the cell vectors:
Na 0.195 0.250 0.458
Na 0.805 0.750 0.542
U 0.226 0.250 0.941
U 0.774 0.750 0.059
Cu 0.258 0.750 0.185
Cu 0.742 0.250 0.815
Se 0.063 0.750 0.909
Se 0.077 0.750 0.355
Se 0.458 0.510 0.786
Se 0.458 0.990 0.786
Se 0.542 0.010 0.214
Se 0.542 0.490 0.214
Se 0.923 0.250 0.645
Se 0.937 0.250 0.091


No. 3
The following is a GGA-PBE calculation of crystalline Na3UCu2Se6 at its relaxed geometry, from Alexandria via LeMat-Bulk.

Computed properties:
Spin magnetization in Bohr magnetons per cell: 0.0
SG: C2/m, No. 12
DOS(E_F) in states/eV/f.u.: 5.829
E_form (uncorrected) in kJ/mol of formula units: -890.4
Raw total energy in Ry per atom: -0.3281
Calculated volume in Å³/cell: 286.09

abc: 7.270 7.270 7.255
angles: 97.96 97.96 128.13
Sites, in units of the cell vectors:
Na 0.000 0.000 0.000
Na 0.317 0.683 0.000
Na 0.683 0.317 0.000
U 0.500 0.500 0.500
Cu 0.104 0.896 0.500
Cu 0.896 0.104 0.500
Se 0.077 0.381 0.298
Se 0.276 0.276 0.759
Se 0.381 0.077 0.298
Se 0.619 0.923 0.702
Se 0.724 0.724 0.241
Se 0.923 0.619 0.702